VASP calculation (GGA+U) on a relaxed InFe2O2 crystal.

Cell: 3.868 3.868 5.798 Å, 70.52 70.52 90.00°
Each line ends with the local moment (μB).
Element x y z (fractional)
Fe  0.672  0.672  0.656  3.67
Fe  0.328  0.328  0.344  3.67
O  0.250  0.750  0.500  0.03
O  0.750  0.250  0.500  0.03
In  0.000  0.000  0.000  -0.02

Summary:
E_tot   -5.378 eV/atom
Energy above the lowest structure with this stoichiometry   0.0 kJ/mol of atoms